An optimized crystal structure of LiAcIn4, computed with GGA-PBE.

abc: 9.2470 9.2470 7.5361
angles: 90.00 90.00 150.83
Element x y z (fractional)
Li  0.2318  0.7682  0.7500
Li  0.7682  0.2318  0.2500
Ac  0.1145  0.8855  0.2500
Ac  0.8855  0.1145  0.7500
In  0.0787  0.9213  0.7500
In  0.3151  0.6849  0.0539
In  0.3151  0.6849  0.4461
In  0.5000  0.5000  0.0000
In  0.5000  0.5000  0.5000
In  0.6849  0.3151  0.5539
In  0.6849  0.3151  0.9461
In  0.9213  0.0787  0.2500

Output
The calculation puts the density of states at the Fermi level at 2.36 states/eV/f.u. The value obtained for the energy relative to the lowest polymorph listed for this composition is 0.0 meV/atom. The calculation puts the volume at 26.2 Å³/atom.



An optimized crystal structure of BeCu2P, computed with GGA-PBE.

abc: 3.5697 3.5697 15.6132
angles: 90.00 90.00 90.00
Element x y z (fractional)
Be  0.0000  0.0000  0.0000
Be  0.0000  0.5000  0.2500
Be  0.5000  0.0000  0.7500
Be  0.5000  0.5000  0.5000
Cu  0.2497  0.2500  0.1250
Cu  0.2503  0.2500  0.6250
Cu  0.2500  0.7497  0.3750
Cu  0.2500  0.7503  0.8750
Cu  0.7500  0.2503  0.3750
Cu  0.7500  0.2497  0.8750
Cu  0.7503  0.7500  0.1250
Cu  0.7497  0.7500  0.6250
P  0.0000  0.0000  0.5000
P  0.0000  0.5000  0.7500
P  0.5000  0.0000  0.2500
P  0.5000  0.5000  0.0000

Output
The calculation puts the density of states at the Fermi level at 1.18 states/eV/f.u. The value obtained for the energy relative to the lowest polymorph listed for this composition is 113.7 meV/atom. The calculation puts the volume at 12.4 Å³/atom.



An optimized crystal structure of AcYBiS, computed with GGA-PBE.

abc: 5.0598 5.0598 10.3708
angles: 90.00 90.00 90.00
Element x y z (fractional)
Ac  0.2500  0.2500  0.1423
Ac  0.7500  0.7500  0.8577
Y  0.2500  0.7500  0.5000
Y  0.7500  0.2500  0.5000
Bi  0.2500  0.2500  0.6849
Bi  0.7500  0.7500  0.3151
S  0.2500  0.7500  0.0000
S  0.7500  0.2500  0.0000

Output
The calculation puts the density of states at the Fermi level at 2.07 states/eV/f.u. The uncorrected formation energy is -1251 meV/atom. The calculation puts the volume at 33.2 Å³/atom.



An optimized crystal structure of Cu2RhSe, computed with GGA-PBE.

abc: 2.7846 2.7846 7.7302
angles: 90.00 90.00 90.00
Element x y z (fractional)
Cu  0.0000  0.0000  0.2282
Cu  0.0000  0.0000  0.7718
Rh  0.5000  0.5000  0.0000
Se  0.5000  0.5000  0.5000

Output
The calculation puts the density of states at the Fermi level at 3.98 states/eV/f.u. The uncorrected formation energy is 278 meV/atom. The calculation puts the volume at 15.0 Å³/atom.



An optimized crystal structure of Nd7Pb3C2, computed with GGA-PBE.

abc: 13.1117 13.1117 5.0470
angles: 90.00 90.00 157.30
Element x y z (fractional)
Nd  0.0000  0.0000  0.0000
Nd  0.0965  0.9035  0.5000
Nd  0.1996  0.8004  0.0000
Nd  0.3982  0.6018  0.0000
Nd  0.6018  0.3982  0.0000
Nd  0.8004  0.1996  0.0000
Nd  0.9035  0.0965  0.5000
Pb  0.3096  0.6904  0.5000
Pb  0.5000  0.5000  0.5000
Pb  0.6904  0.3096  0.5000
C  0.1022  0.8978  0.0000
C  0.8978  0.1022  0.0000

Output
The calculation puts the total energy at -5.657 eV/atom. The calculation puts the density of states at the Fermi level at 5.76 states/eV/f.u. The calculation puts the volume at 27.9 Å³/atom.



An optimized crystal structure of AsH2Se, computed with GGA-PBE.

abc: 5.4700 5.4700 7.7490
angles: 90.00 90.00 90.00
Element x y z (fractional)
As  0.0000  0.0000  0.0000
As  0.0000  0.5000  0.2500
As  0.5000  0.0000  0.7500
As  0.5000  0.5000  0.5000
H  0.0038  0.7500  0.1250
H  0.2500  0.0038  0.8750
H  0.2500  0.4962  0.3750
H  0.4962  0.7500  0.6250
H  0.5038  0.2500  0.6250
H  0.7500  0.5038  0.3750
H  0.7500  0.9962  0.8750
H  0.9962  0.2500  0.1250
Se  0.0000  0.0000  0.5000
Se  0.0000  0.5000  0.7500
Se  0.5000  0.0000  0.2500
Se  0.5000  0.5000  0.0000

Output
The calculation puts the density of states at the Fermi level at 1.81 states/eV/f.u. The value obtained for the energy relative to the lowest polymorph listed for this composition is 461.2 meV/atom. The calculation puts the volume at 14.5 Å³/atom.



An optimized crystal structure of AcSm8In6, computed with GGA-PBE.

abc: 8.4927 8.4927 8.4927
angles: 66.74 66.74 66.74
Element x y z (fractional)
Ac  0.0000  0.0000  0.0000
Sm  0.1161  0.7836  0.4427
Sm  0.2164  0.5573  0.8839
Sm  0.3312  0.3312  0.3312
Sm  0.4427  0.1161  0.7836
Sm  0.5573  0.8839  0.2164
Sm  0.6688  0.6688  0.6688
Sm  0.7836  0.4427  0.1161
Sm  0.8839  0.2164  0.5573
In  0.0580  0.4021  0.7116
In  0.2884  0.9420  0.5979
In  0.4021  0.7116  0.0580
In  0.5979  0.2884  0.9420
In  0.7116  0.0580  0.4021
In  0.9420  0.5979  0.2884

Output
The calculation puts the total energy at -4.106 eV/atom. The calculation puts the density of states at the Fermi level at 23.34 states/eV/f.u. The calculation puts the volume at 33.1 Å³/atom.



An optimized crystal structure of Sc2SiP, computed with GGA-PBE.

abc: 3.8950 20.6472 3.6976
angles: 90.00 90.00 90.00
Element x y z (fractional)
Sc  0.0000  0.0658  0.2500
Sc  0.0000  0.3139  0.2500
Sc  0.0000  0.6861  0.7500
Sc  0.0000  0.9342  0.7500
Sc  0.5000  0.1861  0.7500
Sc  0.5000  0.4342  0.7500
Sc  0.5000  0.5658  0.2500
Sc  0.5000  0.8139  0.2500
Si  0.0000  0.4604  0.2500
Si  0.0000  0.5396  0.7500
Si  0.5000  0.0396  0.7500
Si  0.5000  0.9604  0.2500
P  0.0000  0.1880  0.2500
P  0.0000  0.8120  0.7500
P  0.5000  0.3120  0.7500
P  0.5000  0.6880  0.2500

Output
The calculation puts the density of states at the Fermi level at 1.36 states/eV/f.u. The uncorrected formation energy is -1151 meV/atom. The value obtained for the energy relative to the lowest polymorph listed for this composition is 0.0 meV/atom. The calculation puts the volume at 18.6 Å³/atom.



An optimized crystal structure of Ba2TaPt, computed with GGA-PBE.

abc: 5.4178 5.4178 4.1638
angles: 90.00 90.00 90.00
Element x y z (fractional)
Ba  0.0000  0.5000  0.0000
Ba  0.5000  0.0000  0.0000
Ta  0.0000  0.0000  0.5000
Pt  0.5000  0.5000  0.5000

Output
The calculation puts the density of states at the Fermi level at 5.80 states/eV/f.u. The value obtained for the energy relative to the lowest polymorph listed for this composition is 642.7 meV/atom. The calculation puts the volume at 30.6 Å³/atom.



An optimized crystal structure of HfPaNbRe, computed with GGA-PBE.

abc: 6.8118 6.8118 6.8118
angles: 90.00 90.00 90.00
Element x y z (fractional)
Hf  0.0000  0.0000  0.0000
Hf  0.0000  0.5000  0.5000
Hf  0.5000  0.0000  0.5000
Hf  0.5000  0.5000  0.0000
Pa  0.0000  0.0000  0.5000
Pa  0.0000  0.5000  0.0000
Pa  0.5000  0.0000  0.0000
Pa  0.5000  0.5000  0.5000
Nb  0.2500  0.2500  0.2500
Nb  0.2500  0.7500  0.7500
Nb  0.7500  0.2500  0.7500
Nb  0.7500  0.7500  0.2500
Re  0.2500  0.2500  0.7500
Re  0.2500  0.7500  0.2500
Re  0.7500  0.2500  0.2500
Re  0.7500  0.7500  0.7500

Output
The calculation puts the total energy at -10.585 eV/atom. The calculation puts the density of states at the Fermi level at 4.19 states/eV/f.u. The calculation puts the volume at 19.8 Å³/atom.



An optimized crystal structure of Li3Bi4Rh, computed with GGA-PBE.

abc: 3.3830 3.3830 16.2993
angles: 90.00 90.00 90.00
Element x y z (fractional)
Li  0.0000  0.0000  0.0000
Li  0.0000  0.0000  0.2540
Li  0.0000  0.0000  0.7460
Bi  0.5000  0.5000  0.1304
Bi  0.5000  0.5000  0.3956
Bi  0.5000  0.5000  0.6044
Bi  0.5000  0.5000  0.8696
Rh  0.0000  0.0000  0.5000

Output
The calculation puts the total energy at -3.886 eV/atom. The calculation puts the density of states at the Fermi level at 4.10 states/eV/f.u. The calculation puts the volume at 23.3 Å³/atom.



An optimized crystal structure of Hf12Co6Pt, computed with GGA-PBE.

abc: 7.6408 7.6408 7.6408
angles: 109.47 109.47 109.47
Element x y z (fractional)
Hf  0.1120  0.8177  0.2943
Hf  0.1823  0.2943  0.4765
Hf  0.1823  0.7057  0.8880
Hf  0.2943  0.1120  0.8177
Hf  0.2943  0.4765  0.1823
Hf  0.4765  0.1823  0.2943
Hf  0.5235  0.8177  0.7057
Hf  0.7057  0.5235  0.8177
Hf  0.7057  0.8880  0.1823
Hf  0.8177  0.2943  0.1120
Hf  0.8177  0.7057  0.5235
Hf  0.8880  0.1823  0.7057
Co  0.1377  0.6377  0.5000
Co  0.3623  0.5000  0.8623
Co  0.5000  0.1377  0.6377
Co  0.5000  0.8623  0.3623
Co  0.6377  0.5000  0.1377
Co  0.8623  0.3623  0.5000
Pt  0.0000  0.0000  0.0000

Output
The calculation puts the total energy at -9.227 eV/atom. The calculation puts the density of states at the Fermi level at 12.76 states/eV/f.u. The calculation puts the volume at 18.1 Å³/atom.



An optimized crystal structure of Si2NiP, computed with GGA-PBE.

abc: 6.3119 2.9034 7.2111
angles: 90.00 115.76 90.00
Element x y z (fractional)
Si  0.0000  0.0000  0.0000
Si  0.0975  0.5000  0.3101
Si  0.5000  0.5000  0.0000
Si  0.5975  0.0000  0.3101
Ni  0.0984  0.5000  0.7958
Ni  0.5984  0.0000  0.7958
P  0.4910  0.5000  0.5202
P  0.9910  0.0000  0.5202

Output
The calculation puts the density of states at the Fermi level at 1.28 states/eV/f.u. The uncorrected formation energy is 24 meV/atom. The calculation puts the volume at 14.9 Å³/atom.



An optimized crystal structure of SrTl2Mo, computed with GGA-PBE.

abc: 3.2201 3.2201 9.9835
angles: 90.00 90.00 90.00
Element x y z (fractional)
Sr  0.0000  0.0000  0.0000
Tl  0.0000  0.0000  0.5514
Tl  0.5000  0.5000  0.2877
Mo  0.5000  0.5000  0.7587

Output
The calculation puts the density of states at the Fermi level at 3.10 states/eV/f.u. The value obtained for the energy relative to the lowest polymorph listed for this composition is 260.5 meV/atom. The calculation puts the volume at 25.9 Å³/atom.



An optimized crystal structure of BeAg3Ge, computed with GGA-PBE.

abc: 4.4927 4.4927 4.4927
angles: 90.00 90.00 90.00
Element x y z (fractional)
Be  0.0000  0.0000  0.0000
Ag  0.0000  0.0000  0.5000
Ag  0.0000  0.5000  0.0000
Ag  0.5000  0.0000  0.0000
Ge  0.5000  0.5000  0.5000

Output
The calculation puts the density of states at the Fermi level at 2.22 states/eV/f.u. The value obtained for the energy relative to the lowest polymorph listed for this composition is 0.0 meV/atom. The calculation puts the volume at 18.1 Å³/atom.



An optimized crystal structure of BaHg3Cl, computed with GGA-PBE.

abc: 6.7750 6.7750 6.7750
angles: 90.00 90.00 90.00
Element x y z (fractional)
Ba  0.0000  0.0000  0.0000
Hg  0.0000  0.0000  0.5000
Hg  0.0000  0.5000  0.0000
Hg  0.5000  0.0000  0.0000
Cl  0.5000  0.5000  0.5000

Output
The calculation puts the density of states at the Fermi level at 2.94 states/eV/f.u. The uncorrected formation energy is -114 meV/atom. The value obtained for the energy relative to the lowest polymorph listed for this composition is 108.7 meV/atom. The calculation puts the volume at 62.2 Å³/atom.



An optimized crystal structure of ScInRh2, computed with GGA-PBE.

abc: 6.5160 6.5160 6.5160
angles: 90.00 90.00 90.00
Element x y z (fractional)
Sc  0.0000  0.0000  0.0000
Sc  0.0000  0.5000  0.5000
Sc  0.5000  0.0000  0.5000
Sc  0.5000  0.5000  0.0000
In  0.2500  0.2500  0.7500
In  0.2500  0.7500  0.2500
In  0.7500  0.2500  0.2500
In  0.7500  0.7500  0.7500
Rh  0.0000  0.0000  0.5000
Rh  0.0000  0.5000  0.0000
Rh  0.2500  0.2500  0.2500
Rh  0.2500  0.7500  0.7500
Rh  0.5000  0.0000  0.0000
Rh  0.5000  0.5000  0.5000
Rh  0.7500  0.2500  0.7500
Rh  0.7500  0.7500  0.2500

Output
The calculation puts the total energy at -6.298 eV/atom. The calculation puts the density of states at the Fermi level at 4.46 states/eV/f.u. The calculation puts the volume at 17.3 Å³/atom.



An optimized crystal structure of MgIr3O, computed with GGA-PBE.

abc: 4.5763 4.5763 4.5763
angles: 90.00 90.00 90.00
Element x y z (fractional)
Mg  0.0000  0.0000  0.0000
Ir  0.0000  0.0000  0.5000
Ir  0.0000  0.5000  0.0000
Ir  0.5000  0.0000  0.0000
O  0.5000  0.5000  0.5000

Output
The calculation puts the density of states at the Fermi level at 5.09 states/eV/f.u. The uncorrected formation energy is 2423 meV/atom. The value obtained for the energy relative to the lowest polymorph listed for this composition is 1968.7 meV/atom. The calculation puts the volume at 19.2 Å³/atom.



An optimized crystal structure of Ca5Zr2N6, computed with GGA-PBE.

abc: 6.4166 6.4166 13.3759
angles: 104.73 104.73 64.46
Element x y z (fractional)
Ca  0.1293  0.8707  0.7500
Ca  0.1686  0.5080  0.2814
Ca  0.2361  0.7279  0.9775
Ca  0.2721  0.7639  0.5225
Ca  0.4920  0.8314  0.2186
Ca  0.5080  0.1686  0.7814
Ca  0.7279  0.2361  0.4775
Ca  0.7639  0.2721  0.0225
Ca  0.8314  0.4920  0.7186
Ca  0.8707  0.1293  0.2500
Zr  0.2145  0.3338  0.5621
Zr  0.3338  0.2145  0.0620
Zr  0.6662  0.7855  0.9380
Zr  0.7855  0.6662  0.4380
N  0.0530  0.3429  0.4020
N  0.1261  0.1638  0.1442
N  0.1638  0.1261  0.6442
N  0.3429  0.0530  0.9020
N  0.4140  0.5058  0.1133
N  0.4942  0.5860  0.3867
N  0.5058  0.4140  0.6133
N  0.5860  0.4942  0.8867
N  0.6571  0.9470  0.0980
N  0.8362  0.8739  0.3558
N  0.8739  0.8362  0.8558
N  0.9470  0.6571  0.5980

Output
The uncorrected formation energy is -1024 meV/atom. The calculation puts the volume at 18.2 Å³/atom.



An optimized crystal structure of NpTc2Rh, computed with GGA-PBE.

abc: 4.0600 4.0600 3.8902
angles: 90.00 90.00 90.00
Element x y z (fractional)
Np  0.0000  0.0000  0.0000
Tc  0.0000  0.5000  0.5000
Tc  0.5000  0.0000  0.5000
Rh  0.5000  0.5000  0.0000

Output
The calculation puts the density of states at the Fermi level at 5.92 states/eV/f.u. The value obtained for the energy relative to the lowest polymorph listed for this composition is 0.0 meV/atom. The calculation puts the volume at 16.0 Å³/atom.